Computed, not measured: crystalline Na4LiZr3Te8 at its relaxed geometry at the PBE-GGA level of DFT.

- ΔE_f (raw): -14.66 eV per formula unit
- V: 463.1 Å³/f.u.

Unit cell a=8.3904 b=8.3904 c=22.7844 alpha=90.00 beta=90.00 gamma=120.00
Last column: nearest neighbours and their distance in Å.
Space group R-3m (No. 166, hexagonal axes)
Unique sites:
Na 0.0000 0.0000 0.0000 [3 per cell]  6 Te 3.21
Na 0.0000 0.5000 0.0000 [9 per cell]  6 Te 3.20-3.23
Li 0.0000 0.0000 0.5000 [3 per cell]  6 Te 2.96
Zr 0.0000 0.5000 0.5000 [9 per cell]  6 Te 2.94-2.96
Te 0.0000 0.0000 0.2416 [6 per cell]  3 Zr 2.96, 3 Na 3.20
Te 0.0024 0.5012 0.7600 [18 per cell]  2 Zr 2.94, 1 Li 2.96, 3 Na 3.21-3.23

***

Computed, not measured: crystalline AcLaTeS2 at its relaxed geometry at the PBE-GGA level of DFT.

- ΔE_f (raw): -9.11 eV per formula unit
- V: 160.9 Å³/f.u.

Unit cell a=4.6883 b=4.6883 c=14.6393 alpha=90.00 beta=90.00 gamma=90.00
Last column: nearest neighbours and their distance in Å.
Space group I4mm (No. 107)
Unique sites:
Ac 0.0000 0.0000 0.0000 [2 per cell]  4 S 2.88
La 0.0000 0.0000 0.2839 [2 per cell]  4 S 2.77
Te 0.0000 0.0000 0.6366 [2 per cell]  4 Ac 3.87, 4 La 3.95, 4 S 4.33
S 0.0000 0.5000 0.3853 [4 per cell]  2 La 2.77, 2 Ac 2.88

***

Computed, not measured: crystalline LiMg2Os at its relaxed geometry at the PBE-GGA level of DFT.

- Energy relative to the elements: 0.14 eV/atom
- V: 68.3 Å³/f.u.

Unit cell a=2.8828 b=2.8828 c=28.4728 alpha=90.00 beta=90.00 gamma=120.00
Last column: nearest neighbours and their distance in Å.
Space group R-3m (No. 166, hexagonal axes)
Unique sites:
Li 0.0000 0.0000 0.0000 [3 per cell]  6 Li 2.88, 6 Mg 3.02
Mg 0.0000 0.0000 0.2447 [6 per cell]  3 Os 2.78, 6 Mg 2.88, 3 Li 3.02
Os 0.0000 0.0000 0.5000 [3 per cell]  6 Mg 2.78, 6 Os 2.88

***

Computed, not measured: crystalline SmHoGe2 at its relaxed geometry at the PBE-GGA level of DFT.

- Distance to the lowest polymorph of the same formula: 0.003 eV/atom
- Energy relative to the elements: -0.86 eV/atom
- V: 93.7 Å³/f.u.

Unit cell a=3.9948 b=5.8374 c=8.0392 alpha=90.00 beta=90.00 gamma=90.00
Last column: nearest neighbours and their distance in Å.
Space group Pmc2_1 (No. 26)
Unique sites:
Sm 0.0000 0.1319 0.0000 [2 per cell]  7 Ge 2.99-3.27
Ho 0.5000 0.3690 0.6378 [2 per cell]  7 Ge 3.00-3.26
Ge 0.0000 0.3938 0.3599 [2 per cell]  2 Ge 2.68, 1 Sm 2.99, 2 Ho 3.00
Ge 0.5000 0.1083 0.2788 [2 per cell]  2 Ge 2.68

***

Computed, not measured: crystalline LaCdAs2Se at its relaxed geometry at the PBE-GGA level of DFT.

- Distance to the lowest polymorph of the same formula: 0.000 eV/atom
- ΔE_f (raw): -0.79 eV per formula unit
- V: 136.3 Å³/f.u.

Unit cell a=5.0903 b=5.0903 c=5.2596 alpha=90.00 beta=90.00 gamma=90.00
Last column: nearest neighbours and their distance in Å.
Space group P4/mmm (No. 123)
Unique sites:
La 0.0000 0.0000 0.0000 [1 per cell]  4 Se 3.60, 8 As 3.66
Cd 0.5000 0.5000 0.5000 [1 per cell]  4 As 2.55, 2 Se 2.63
As 0.0000 0.5000 0.5000 [2 per cell]  2 Cd 2.55
Se 0.5000 0.5000 0.0000 [1 per cell]  2 Cd 2.63

***

Computed, not measured: crystalline AcSm8Tm2 at its relaxed geometry at the PBE-GGA level of DFT.

- Distance to the lowest polymorph of the same formula: 0.091 eV/atom
- Energy relative to the elements: 0.12 eV/atom
- V: 389.9 Å³/f.u.

Unit cell a=19.6617 b=7.1067 c=5.5916 alpha=90.00 beta=93.49 gamma=90.00
Last column: nearest neighbours and their distance in Å.
Space group C2/m (No. 12)
Unique sites:
Ac 0.0000 0.0000 0.0000 [2 per cell]  10 Sm 3.71-3.89
Sm 0.0458 0.5000 0.2408 [4 per cell]  2 Sm 3.15-3.50, 1 Tm 3.32
Sm 0.1369 0.2704 0.7288 [8 per cell]  4 Sm 3.26-3.58, 3 Tm 3.49-3.59
Sm 0.1906 0.0000 0.2333 [4 per cell]  4 Tm 3.35-3.58, 4 Sm 3.52-3.58
Tm 0.2146 0.5000 0.2487 [4 per cell]  11 Sm 3.32-3.59

***

Computed, not measured: crystalline NaSrAs2Se at its relaxed geometry at the PBE-GGA level of DFT.

- Distance to the lowest polymorph of the same formula: 0.000 eV/atom
- ΔE_f (raw): -0.09 eV per formula unit
- V: 136.4 Å³/f.u.

Unit cell a=5.0789 b=5.0789 c=5.2883 alpha=90.00 beta=90.00 gamma=90.00
Last column: nearest neighbours and their distance in Å.
Space group P4/mmm (No. 123)
Unique sites:
Na 0.0000 0.0000 0.0000 [1 per cell]  4 As 2.54, 2 Se 2.64
Sr 0.5000 0.5000 0.5000 [1 per cell]  4 Se 3.59, 8 As 3.67
As 0.0000 0.5000 0.0000 [2 per cell]  2 Na 2.54
Se 0.0000 0.0000 0.5000 [1 per cell]  2 Na 2.64

***

Computed, not measured: crystalline AcPPd at its relaxed geometry at the PBE-GGA level of DFT.

- Distance to the lowest polymorph of the same formula: 0.000 eV/atom
- Energy relative to the elements: -1.23 eV/atom
- V: 68.7 Å³/f.u.

Unit cell a=4.3555 b=4.3555 c=4.1831 alpha=90.00 beta=90.00 gamma=120.00
Last column: nearest neighbours and their distance in Å.
Space group P3m1 (No. 156)
Unique sites:
Ac 0.0000 0.0000 0.0000 [1 per cell]  6 P 3.27, 6 Pd 3.27
P 0.3333 0.6667 0.4993 [1 per cell]  3 Pd 2.51
Pd 0.6667 0.3333 0.5006 [1 per cell]  3 P 2.51

***

Computed, not measured: crystalline Zr2BiIr2 at its relaxed geometry at the PBE-GGA level of DFT.

- Distance to the lowest polymorph of the same formula: 0.000 eV/atom
- Energy relative to the elements: -0.61 eV/atom
- V: 100.9 Å³/f.u.

Unit cell a=7.9224 b=7.9224 c=3.2139 alpha=90.00 beta=90.00 gamma=90.00
Last column: nearest neighbours and their distance in Å.
Space group P4/mbm (No. 127)
Unique sites:
Zr 0.1577 0.3423 0.0000 [4 per cell]  6 Ir 2.80-2.86
Bi 0.0000 0.0000 0.5000 [2 per cell]  4 Ir 3.10, 2 Bi 3.21, 8 Zr 3.39
Ir 0.1309 0.6309 0.5000 [4 per cell]  6 Zr 2.80-2.86, 1 Ir 2.93, 2 Bi 3.10

***

Computed, not measured: crystalline B5C7 at its relaxed geometry at the PBE-GGA level of DFT.

- Distance to the lowest polymorph of the same formula: 0.093 eV/atom
- Energy relative to the elements: 0.35 eV/atom
- V: 80.6 Å³/f.u.

Unit cell a=12.0499 b=2.6080 c=5.2825 alpha=90.00 beta=103.80 gamma=90.00
Last column: nearest neighbours and their distance in Å.
Space group Cm (No. 8)
Unique sites:
B 0.0000 0.0000 0.0000 [2 per cell]  3 C 1.55-1.64
B 0.0161 0.0000 0.4121 [2 per cell]  3 C 1.64-1.72, 1 B 1.73
B 0.1288 0.0000 0.6868 [2 per cell]  2 C 1.53
B 0.2578 0.5000 0.5551 [2 per cell]  2 C 1.58-1.62
B 0.3726 0.0000 0.6162 [2 per cell]  2 C 1.57
C 0.1174 0.0000 0.2321 [2 per cell]  2 C 1.55, 2 B 1.64-1.72
C 0.1882 0.5000 0.2514 [2 per cell]  3 C 1.55-1.56, 1 B 1.62
C 0.1923 0.5000 0.7813 [2 per cell]  3 B 1.53-1.58, 1 C 1.55
C 0.2693 0.5000 0.0611 [2 per cell]  4 C 1.55-1.60
C 0.3482 0.0000 0.1062 [2 per cell]  4 C 1.55-1.60
C 0.4310 0.0000 0.3808 [2 per cell]  1 C 1.55, 3 B 1.57-1.64
C 0.4325 0.0000 0.9145 [2 per cell]  3 B 1.55-1.57, 1 C 1.60

***

Computed, not measured: crystalline Ac4CoCuCl2 at its relaxed geometry at the PBE-GGA level of DFT.

- ΔE_f (raw): -6.56 eV per formula unit
- V: 256.3 Å³/f.u.

Unit cell a=7.5050 b=4.3308 c=8.2797 alpha=90.00 beta=107.74 gamma=90.00
Last column: nearest neighbours and their distance in Å.
Space group P2/m (No. 10)
Unique sites:
Ac 0.2243 0.0000 0.2012 [2 per cell]  2 Co 2.93, 1 Cu 3.03
Ac 0.2480 0.5000 0.7962 [2 per cell]  1 Co 2.87, 2 Cu 3.03
Co 0.0000 0.5000 0.0000 [1 per cell]  6 Ac 2.87-2.93
Cu 0.5000 0.0000 0.0000 [1 per cell]  6 Ac 3.03
Cl 0.0000 0.0000 0.5000 [1 per cell]  6 Ac 3.37-3.39
Cl 0.5000 0.5000 0.5000 [1 per cell]  6 Ac 3.46-3.52

***

Computed, not measured: crystalline Tm6Ga2TeSe3 at its relaxed geometry at the PBE-GGA level of DFT.

- ΔE_f (raw): -14.85 eV per formula unit
- V: 295.3 Å³/f.u.

Unit cell a=18.0544 b=3.9808 c=8.4684 alpha=90.00 beta=103.96 gamma=90.00
Last column: nearest neighbours and their distance in Å.
Space group C2/m (No. 12)
Unique sites:
Tm 0.0088 0.0000 0.2691 [4 per cell]  1 Ga 2.81, 3 Se 2.82-2.98, 2 Te 3.00
Tm 0.1678 0.5000 0.5859 [4 per cell]  3 Ga 2.86-2.89, 3 Se 2.94
Tm 0.1723 0.5000 0.0977 [4 per cell]  2 Ga 2.86, 3 Se 2.92-2.94, 1 Te 3.02
Ga 0.1691 0.0000 0.3388 [4 per cell]  6 Tm 2.81-2.89
Te 0.0000 0.5000 0.0000 [2 per cell]  6 Tm 3.00-3.02
Se 0.0000 0.5000 0.5000 [2 per cell]  6 Tm 2.82-2.94
Se 0.1612 0.0000 0.8374 [4 per cell]  6 Tm 2.92-2.98

***

Computed, not measured: crystalline GaHgI at its relaxed geometry at the PBE-GGA level of DFT.

- Distance to the lowest polymorph of the same formula: 0.045 eV/atom
- ΔE_f (raw): -0.51 eV per formula unit
- V: 120.1 Å³/f.u.

Unit cell a=13.3276 b=13.3276 c=5.4095 alpha=90.00 beta=90.00 gamma=90.00
Last column: nearest neighbours and their distance in Å.
Space group I4/mmm (No. 139)
Unique sites:
Ga 0.0000 0.2947 0.0000 [8 per cell]  2 I 2.80, 2 Hg 2.81
Hg 0.0000 0.3518 0.5000 [8 per cell]  2 Ga 2.81
I 0.1654 0.1654 0.0000 [8 per cell]  2 Ga 2.80

***

Computed, not measured: crystalline BeTcTe2I at its relaxed geometry at the PBE-GGA level of DFT.

- Distance to the lowest polymorph of the same formula: 0.000 eV/atom
- ΔE_f (raw): 4.59 eV per formula unit
- V: 152.7 Å³/f.u.

Unit cell a=5.1284 b=5.1284 c=5.8054 alpha=90.00 beta=90.00 gamma=90.00
Last column: nearest neighbours and their distance in Å.
Space group P4/mmm (No. 123)
Unique sites:
Be 0.0000 0.0000 0.0000 [1 per cell]  4 I 3.63, 8 Te 3.87
Tc 0.5000 0.5000 0.5000 [1 per cell]  4 Te 2.56
Te 0.0000 0.5000 0.5000 [2 per cell]  2 Tc 2.56
I 0.5000 0.5000 0.0000 [1 per cell]  2 Tc 2.90

***

Computed, not measured: crystalline Ba2SrCdMo at its relaxed geometry at the PBE-GGA level of DFT.

- Energy relative to the elements: 0.92 eV/atom
- V: 264.7 Å³/f.u.

Unit cell a=6.4915 b=6.4915 c=6.2813 alpha=90.00 beta=90.00 gamma=90.00
Last column: nearest neighbours and their distance in Å.
Space group P4/mmm (No. 123)
Unique sites:
Ba 0.0000 0.5000 0.0000 [2 per cell]  2 Cd 3.25
Sr 0.0000 0.0000 0.5000 [1 per cell]  2 Cd 3.14
Cd 0.0000 0.0000 0.0000 [1 per cell]  2 Sr 3.14, 4 Ba 3.25
Mo 0.5000 0.5000 0.5000 [1 per cell]  8 Ba 4.52, 4 Sr 4.59

***

Computed, not measured: crystalline Pr2TcH6Pd at its relaxed geometry at the PBE-GGA level of DFT.

- Raw total energy: -4.99 eV/atom
- V: 109.8 Å³/f.u.

Unit cell a=7.5583 b=7.6152 c=7.6307 alpha=90.00 beta=90.00 gamma=90.00
Last column: nearest neighbours and their distance in Å.
Space group Fmmm (No. 69)
Unique sites:
Pr 0.2500 0.2500 0.2500 [8 per cell]  12 H 2.68-2.70
Tc 0.0000 0.0000 0.0000 [4 per cell]  6 H 1.83
H 0.0000 0.0000 0.2397 [8 per cell]  1 Tc 1.83, 1 Pd 1.99
H 0.0000 0.2400 0.0000 [8 per cell]  1 Tc 1.83, 1 Pd 1.98
H 0.2422 0.0000 0.0000 [8 per cell]  1 Tc 1.83, 1 Pd 1.95
Pd 0.0000 0.0000 0.5000 [4 per cell]  6 H 1.95-1.99

***

Computed, not measured: crystalline Ca2FeBr at its relaxed geometry at the PBE-GGA level of DFT.

- Distance to the lowest polymorph of the same formula: 0.000 eV/atom
- ΔE_f (raw): -1.31 eV per formula unit
- V: 100.9 Å³/f.u.

Unit cell a=3.5429 b=3.5237 c=8.0843 alpha=90.00 beta=90.46 gamma=90.00
Last column: nearest neighbours and their distance in Å.
Space group P2/m (No. 10)
Unique sites:
Ca 0.0032 0.0000 0.2227 [2 per cell]  4 Fe 3.08, 4 Br 3.34-3.37
Fe 0.5000 0.5000 0.0000 [1 per cell]  8 Ca 3.08
Br 0.5000 0.5000 0.5000 [1 per cell]  8 Ca 3.34-3.37, 4 Br 3.52-3.54

***

Computed, not measured: crystalline NaY2NbGa at its relaxed geometry at the PBE-GGA level of DFT.

- Energy relative to the elements: 0.87 eV/atom
- V: 158.4 Å³/f.u.

Unit cell a=5.3550 b=5.3550 c=5.5238 alpha=90.00 beta=90.00 gamma=90.00
Last column: nearest neighbours and their distance in Å.
Space group P4/mmm (No. 123)
Unique sites:
Na 0.0000 0.0000 0.0000 [1 per cell]  2 Nb 2.76
Y 0.0000 0.5000 0.5000 [2 per cell]  2 Nb 2.68
Nb 0.0000 0.0000 0.5000 [1 per cell]  4 Y 2.68, 2 Na 2.76
Ga 0.5000 0.5000 0.0000 [1 per cell]  4 Na 3.79, 8 Y 3.85

***

Computed, not measured: crystalline LiTl2Ga2Te4 at its relaxed geometry at the PBE-GGA level of DFT.

- ΔE_f (raw): -3.47 eV per formula unit
- V: 290.7 Å³/f.u.

Unit cell a=16.0908 b=4.6105 c=8.1405 alpha=90.00 beta=105.67 gamma=90.00
Last column: nearest neighbours and their distance in Å.
Space group C2/m (No. 12)
Unique sites:
Li 0.0000 0.0000 0.0000 [2 per cell]  6 Te 3.10-3.18
Tl 0.1200 0.0000 0.5673 [4 per cell]  7 Te 3.43-3.82, 1 Tl 3.72
Ga 0.1684 0.5000 0.9872 [4 per cell]  4 Te 2.63-2.78
Te 0.0178 0.5000 0.7575 [4 per cell]  1 Ga 2.63
Te 0.2017 0.0000 0.1790 [4 per cell]  3 Ga 2.75-2.78

***

Computed, not measured: crystalline Pm6Ga3H at its relaxed geometry at the PBE-GGA level of DFT.

- Raw total energy: -4.48 eV/atom
- V: 258.7 Å³/f.u.

Unit cell a=11.5982 b=14.1348 c=6.3120 alpha=90.00 beta=90.00 gamma=90.00
Last column: nearest neighbours and their distance in Å.
Space group Cmc2_1 (No. 36)
Unique sites:
Pm 0.0000 0.0890 0.0000 [4 per cell]  1 H 2.37
Pm 0.0000 0.3081 0.7518 [4 per cell]  1 H 2.29
Pm 0.1755 0.2927 0.2481 [8 per cell]  1 H 2.33
Pm 0.2277 0.4580 0.6784 [8 per cell]  4 Ga 3.11-3.16, 4 Pm 3.37-3.42
Ga 0.0000 0.4744 0.4081 [4 per cell]  8 Pm 3.15-3.43, 2 Ga 3.24
Ga 0.1094 0.1203 0.5344 [8 per cell]  1 Ga 2.54
H 0.0000 0.2515 0.0921 [4 per cell]  4 Pm 2.29-2.37